Record 1
Density functional theory data (PBE) for Tm2Co2Si2H after structural relaxation.

## Properties
Calculated density, Mg/m³: 8.4
Total DFT energy (no corrections), eV per atom: -6.04

Cell and atoms, written as CIF:
```
data_Tm2Co2Si2H
_chemical_formula_sum 'Tm4 Co4 Si4 H2'
_symmetry_space_group_name_H-M 'C 1 2/m 1'
_symmetry_Int_Tables_number 12
_cell_length_a 10.065
_cell_length_b 3.964
_cell_length_c 6.689
_cell_angle_alpha 90.00
_cell_angle_beta 130.51
_cell_angle_gamma 90.00
loop_
_symmetry_equiv_pos_as_xyz
'x,y,z'
'-x,-y,-z'
'-x,y,-z'
'x,-y,z'
'x+1/2,y+1/2,z'
'-x+1/2,-y+1/2,-z'
'-x+1/2,y+1/2,-z'
'x+1/2,-y+1/2,z'
loop_
_atom_site_label
_atom_site_fract_x
_atom_site_fract_y
_atom_site_fract_z
Tm1 0.054 0.000 0.292
Co1 0.204 0.500 0.099
Si1 0.161 0.500 0.710
H1 0.000 0.500 0.000
```

---

Record 2
Density functional theory data (PBE) for PmYCoBr after structural relaxation.

## Properties
Energy relative to the elements, uncorrected, eV/f.u.: -2.8
Calculated density, Mg/m³: 6.0
Total DFT energy (no corrections), eV per atom: -5.71

Cell and atoms, written as CIF:
```
data_PmYCoBr
_chemical_formula_sum 'Pm3 Y3 Co3 Br3'
_symmetry_space_group_name_H-M 'R 3 m'
_symmetry_Int_Tables_number 160
_symmetry_space_group_name_Hall 'R 3 -2"'
_cell_length_a 3.9106
_cell_length_b 3.9106
_cell_length_c 23.2355
_cell_angle_alpha 90.00
_cell_angle_beta 90.00
_cell_angle_gamma 120.00
loop_
_atom_site_label
_atom_site_fract_x
_atom_site_fract_y
_atom_site_fract_z
Pm1 0.0000 0.0000 0.0000
Y1 0.0000 0.0000 0.2066
Co1 0.0000 0.0000 0.6029
Br1 0.0000 0.0000 0.7752
```

---

Record 3
Density functional theory data (PBE) for Dy3HoSc3 after structural relaxation.

## Properties
E_form, eV per atom: 0.15
Calculated density, Mg/m³: 6.3
ΔE to the lowest computed polymorph, eV per atom: 0.128
Total DFT energy (no corrections), eV per atom: -5.19

Cell and atoms, written as CIF:
```
data_Dy3HoSc3
_chemical_formula_sum 'Dy18 Ho6 Sc18'
_symmetry_space_group_name_H-M 'R -3'
_symmetry_Int_Tables_number 148
_symmetry_space_group_name_Hall '-R 3'
_cell_length_a 5.9254
_cell_length_b 5.9254
_cell_length_c 40.9411
_cell_angle_alpha 90.00
_cell_angle_beta 90.00
_cell_angle_gamma 120.00
loop_
_atom_site_label
_atom_site_fract_x
_atom_site_fract_y
_atom_site_fract_z
Dy1 0.9995 0.3329 0.0968
Ho1 0.0000 0.0000 0.1667
Sc1 0.0002 0.3325 0.6357
```

---

Record 4
Density functional theory data (PBE) for TlSn2PF after structural relaxation.

## Properties
Energy relative to the elements, uncorrected, eV/f.u.: 0.9
Calculated density, Mg/m³: 5.8
Total DFT energy (no corrections), eV per atom: -3.35

Cell and atoms, written as CIF:
```
data_TlSn2PF
_chemical_formula_sum 'Tl1 Sn2 P1 F1'
_symmetry_space_group_name_H-M 'P 4/m m m'
_symmetry_Int_Tables_number 123
_symmetry_space_group_name_Hall '-P 4 2'
_cell_length_a 5.635
_cell_length_b 5.635
_cell_length_c 4.441
_cell_angle_alpha 90.00
_cell_angle_beta 90.00
_cell_angle_gamma 90.00
loop_
_atom_site_label
_atom_site_fract_x
_atom_site_fract_y
_atom_site_fract_z
Tl1 0.000 0.000 0.000
Sn1 0.000 0.500 0.000
P1 0.500 0.500 0.500
F1 0.000 0.000 0.500
```

---

Record 5
Density functional theory data (PBE) for NbWSe4 after structural relaxation.

## Properties
Energy relative to the elements, uncorrected, eV/f.u.: -2.7
Calculated density, Mg/m³: 7.0
ΔE to the lowest computed polymorph, eV per atom: 0.245
Total DFT energy (no corrections), eV per atom: -6.61

Cell and atoms, written as CIF:
```
data_NbWSe4
_chemical_formula_sum 'Nb2 W2 Se8'
_symmetry_space_group_name_H-M 'P -1'
_symmetry_Int_Tables_number 2
_cell_length_a 6.705
_cell_length_b 6.737
_cell_length_c 7.343
_cell_angle_alpha 84.00
_cell_angle_beta 76.62
_cell_angle_gamma 60.53
loop_
_symmetry_equiv_pos_as_xyz
'x,y,z'
'-x,-y,-z'
loop_
_atom_site_label
_atom_site_fract_x
_atom_site_fract_y
_atom_site_fract_z
Nb1 0.088 0.143 0.382
W1 0.423 0.856 0.611
Se1 0.136 0.796 0.880
Se2 0.200 0.287 0.636
Se3 0.309 0.695 0.378
Se4 0.374 0.208 0.121
```

---

Record 6
Density functional theory data (PBE) for TlPPt5 after structural relaxation.

## Properties
E_form, eV per atom: -0.25
Calculated density, Mg/m³: 17.4
Total DFT energy (no corrections), eV per atom: -5.68

Cell and atoms, written as CIF:
```
data_TlPPt5
_chemical_formula_sum 'Tl1 P1 Pt5'
_symmetry_space_group_name_H-M 'P 4/m m m'
_symmetry_Int_Tables_number 123
_symmetry_space_group_name_Hall '-P 4 2'
_cell_length_a 4.006
_cell_length_b 4.006
_cell_length_c 7.199
_cell_angle_alpha 90.00
_cell_angle_beta 90.00
_cell_angle_gamma 90.00
loop_
_atom_site_label
_atom_site_fract_x
_atom_site_fract_y
_atom_site_fract_z
Tl1 0.000 0.000 0.000
P1 0.500 0.500 0.500
Pt1 0.000 0.500 0.303
Pt2 0.500 0.500 0.000
```